(1)
Mg3TaPt PBE-GGA relaxed; DFT total energy = -0.2114 Ry/atom; ΔE_f = 1.66 eV/atom; symmetry = Pm-3m, No. 221
1.0
5.225 0.000 0.000
0.000 5.225 0.000
0.000 0.000 5.225
Mg Ta Pt
3 1 1
Cartesian
0.000 0.000 2.613
0.000 2.613 0.000
2.613 0.000 0.000
0.000 0.000 0.000
2.613 2.613 2.613

(2)
Ce2PuPt3 PBE-GGA relaxed; DFT total energy = -0.6116 Ry/atom; ΔE_f = -0.93 eV/atom; symmetry = P-1, No. 2
1.0
5.892 0.000 0.000
1.935 6.019 0.000
1.456 1.756 7.325
Ce Pu Pt
4 2 6
Cartesian
0.999 0.969 1.448
4.505 4.128 6.251
4.778 3.647 1.074
8.284 6.806 5.877
2.664 2.179 3.475
6.619 5.596 3.849
1.813 4.141 1.302
3.691 5.037 3.577
5.313 7.278 6.255
3.970 0.497 1.069
5.593 2.737 3.748
7.471 3.634 6.022

(3)
PaCuNi2 PBE-GGA relaxed; DFT total energy = -0.4734 Ry/atom; ΔE_f = -0.15 eV/atom; symmetry = P4/mmm, No. 123
1.0
3.095 0.000 0.000
0.000 3.095 0.000
0.000 0.000 6.172
Pa Cu Ni
1 1 2
Cartesian
0.000 0.000 0.000
0.000 0.000 3.086
1.548 1.548 1.818
1.548 1.548 4.354

(4)
SrCa3Bi PBE-GGA relaxed; DFT total energy = -0.1971 Ry/atom; ΔE_f = -0.37 eV/atom; symmetry = P2_1/c, No. 14
1.0
8.967 0.000 0.000
0.000 8.121 0.000
-2.780 0.000 10.868
Sr Ca Bi
4 12 4
Cartesian
1.034 0.326 2.761
-0.356 3.735 8.195
6.543 4.386 2.673
5.153 7.795 8.107
0.417 5.790 0.259
-0.973 6.391 5.693
1.415 4.211 3.900
0.025 7.970 9.334
1.850 1.169 6.387
3.240 2.892 0.953
2.947 5.229 9.915
4.337 6.952 4.481
6.162 0.151 1.534
4.772 3.910 6.968
7.160 1.730 5.175
5.770 2.331 10.609
2.154 6.019 6.799
3.544 6.163 1.365
2.643 1.958 9.503
4.033 2.102 4.069

(5)
FeHgMoP2 PBE-GGA relaxed; DFT total energy = -0.2919 Ry/atom; ΔE_f = 2.11 eV/atom; symmetry = P4/mmm, No. 123
1.0
4.868 0.000 0.000
0.000 4.868 0.000
0.000 0.000 5.276
Fe Hg Mo P
1 1 1 2
Cartesian
0.000 0.000 0.000
2.434 2.434 2.638
2.434 2.434 0.000
0.000 2.434 2.638
2.434 0.000 2.638

(6)
ThFeNi3 PBE-GGA relaxed; DFT total energy = -0.5029 Ry/atom; ΔE_f = -0.20 eV/atom; symmetry = P-3m1, No. 164
1.0
5.919 0.000 0.000
-2.959 5.126 0.000
0.000 0.000 5.164
Th Fe Ni
2 2 6
Cartesian
0.000 3.417 1.295
2.959 1.709 3.869
0.000 0.000 0.000
0.000 0.000 2.582
0.000 2.019 3.878
-1.211 4.116 3.878
1.749 1.010 1.286
1.211 4.116 3.878
4.170 1.010 1.286
2.959 3.107 1.286

(7)
BaRhSe2Br PBE-GGA relaxed; DFT total energy = -0.3279 Ry/atom; formation energy without anion corrections = -877.8 meV/atom; symmetry = P4/mmm, No. 123
1.0
5.026 0.000 0.000
0.000 5.026 0.000
0.000 0.000 5.217
Ba Rh Se Br
1 1 2 1
Cartesian
0.000 0.000 0.000
2.513 2.513 2.609
0.000 2.513 2.609
2.513 0.000 2.609
2.513 2.513 0.000

(8)
Cu2AsS4 PBE-GGA relaxed; DFT total energy = -0.3064 Ry/atom; formation energy without anion corrections = 24.7 meV/atom; symmetry = I4_1/a, No. 88
1.0
-3.295 3.295 5.728
3.295 -3.295 5.728
3.295 3.295 -5.728
Cu As S
4 2 8
Cartesian
0.000 0.000 0.000
-1.647 1.647 2.864
0.000 3.295 0.000
1.647 1.647 2.864
3.295 1.647 -1.432
0.000 1.647 7.160
1.027 -0.329 2.019
4.613 0.621 0.845
4.321 -0.329 3.709
1.976 2.674 0.845
1.319 0.621 4.883
-1.027 3.623 2.019
-1.319 2.674 4.883
2.268 3.623 3.709

(9)
AcPmPr4Nd2 PBE-GGA relaxed; DFT total energy = -0.3183 Ry/atom; ΔE_f = 0.36 eV/atom; symmetry = C2/c, No. 15
1.0
7.066 -6.832 0.000
7.066 6.832 0.000
-3.598 0.000 6.175
Ac Pm Pr Nd
2 2 8 4
Cartesian
3.533 3.416 0.000
1.734 -3.416 3.088
0.000 0.000 0.000
-1.799 0.000 3.088
1.952 0.104 2.687
5.210 3.428 3.177
3.524 3.428 6.086
0.153 -0.104 5.775
10.380 0.104 0.400
7.009 -3.428 0.089
5.323 -3.428 2.998
8.581 -0.104 3.488
1.734 3.416 3.088
3.533 -3.416 0.000
7.066 0.000 0.000
5.267 0.000 3.088

(10)
Ac2Tl4Pb PBE-GGA relaxed; DFT total energy = -0.2388 Ry/atom; ΔE_f = -0.19 eV/atom; symmetry = I4/mmm, No. 139
1.0
4.735 0.000 0.000
0.000 4.735 0.000
0.000 0.000 20.902
Ac Tl Pb
4 8 2
Cartesian
0.000 0.000 2.069
0.000 0.000 18.833
2.368 2.368 8.382
2.368 2.368 12.520
0.000 0.000 7.350
0.000 0.000 13.552
0.000 2.368 5.225
0.000 2.368 15.676
2.368 0.000 5.225
2.368 0.000 15.676
2.368 2.368 3.101
2.368 2.368 17.801
0.000 0.000 10.451
2.368 2.368 0.000

(11)
PPdRhCl2 PBE-GGA relaxed; DFT total energy = -0.2896 Ry/atom; formation energy without anion corrections = 389.5 meV/atom; symmetry = P4/mmm, No. 123
1.0
4.886 0.000 0.000
0.000 4.886 0.000
0.000 0.000 4.455
P Pd Rh Cl
1 1 1 2
Cartesian
0.000 0.000 0.000
2.443 2.443 0.000
0.000 0.000 2.228
0.000 2.443 2.228
2.443 0.000 2.228

The records above yield mass density values of 5.2; 14.2; 11.6; 3.5; 5.5; 9.8; 6.0; 4.4; 6.8; 10.5; 4.9 g cm⁻³, respectively.